Density functional theory data (PBE) for crystalline K2Sn7Pd12 at its relaxed geometry.

Values from the calculation:
Magnetic moment (μB/f.u.): 0.0
Space-group type: P-3, No. 147
Calculated formation energy (eV per atom): -0.441

Lattice parameters (Å, degrees): 4.121 10.928 10.928 120.00 90.00 90.00
Atoms (fractional coordinates):
Pd 0.753 0.057 0.436
Pd 0.762 0.857 0.115
Pd 0.247 0.621 0.057
Pd 0.762 0.257 0.143
Sn 0.257 0.885 0.290
Pd 0.238 0.143 0.885
K 0.245 0.333 0.667
Pd 0.247 0.943 0.564
Pd 0.762 0.885 0.743
Sn 0.257 0.405 0.115
Pd 0.247 0.436 0.379
Pd 0.753 0.564 0.621
Pd 0.238 0.743 0.857
Pd 0.753 0.379 0.943
K 0.755 0.667 0.333
Pd 0.238 0.115 0.257
Sn 0.743 0.290 0.405
Sn 0.257 0.710 0.595
Sn 0.743 0.115 0.710
Sn 0.743 0.595 0.885
Sn 0.500 0.000 0.000

Density functional theory data (PBE) for crystalline AcZnSiRh6 at its relaxed geometry.

Values from the calculation:
Magnetic moment (μB/f.u.): 0.0
Formation energy from raw total energies (eV per atom): -0.080
Space-group type: Imma, No. 74

Lattice parameters (Å, degrees): 6.072 9.280 8.007 125.41 112.28 90.00
Atoms (fractional coordinates):
Zn 0.000 0.000 0.500
Rh 0.923 0.173 0.846
Ac 0.171 0.421 0.343
Si 0.500 0.500 0.000
Rh 0.094 0.885 0.735
Ac 0.829 0.579 0.657
Rh 0.359 0.650 0.265
Rh 0.094 0.350 0.735
Rh 0.641 0.885 0.735
Rh 0.077 0.827 0.154
Rh 0.641 0.350 0.735
Si 0.500 0.000 0.000
Rh 0.359 0.115 0.265
Rh 0.432 0.682 0.865
Rh 0.906 0.650 0.265
Rh 0.906 0.115 0.265
Rh 0.568 0.318 0.135
Zn 0.500 0.000 0.500

Density functional theory data (PBE) for crystalline ThScBiTe at its relaxed geometry.

Values from the calculation:
Magnetic moment (μB/f.u.): 1.0
Formation energy from raw total energies (eV per atom): -0.715
Space-group type: F-43m, No. 216
Relative energy among the computed polymorphs (meV/atom): 0.0

Lattice parameters (Å, degrees): 5.383 5.383 5.383 60.00 60.00 60.00
Each line ends with the local moment (μB).
Atoms (fractional coordinates):
Th 0.250 0.250 0.250  0.21
Bi 0.500 0.500 0.500  -0.01
Sc 0.750 0.750 0.750  0.38
Te 0.000 0.000 0.000  -0.02

Density functional theory data (PBE) for crystalline U5PaC5 at its relaxed geometry.

Values from the calculation:
Magnetic moment (μB/f.u.): 1.9
Space-group type: C2/m, No. 12
Calculated formation energy (eV per atom): -0.141

Lattice parameters (Å, degrees): 4.977 5.978 6.730 106.01 90.00 114.60
Each line ends with the local moment (μB).
Atoms (fractional coordinates):
U 0.655 0.311 0.342  0.38
Pa 0.000 0.000 0.000  -0.03
U 0.000 0.000 0.500  0.69
C 0.830 0.660 0.657  -0.03
C 0.182 0.365 0.836  -0.02
C 0.818 0.635 0.164  -0.02
C 0.170 0.340 0.343  -0.03
C 0.500 0.000 0.000  -0.01
U 0.336 0.672 0.179  0.24
U 0.664 0.328 0.821  0.24
U 0.345 0.689 0.658  0.38

Density functional theory data (PBE) for crystalline BeAg2Te at its relaxed geometry.

Values from the calculation:
Magnetic moment (μB/f.u.): 0.0
Formation energy from raw total energies (eV per atom): 0.243
Space-group type: C2/m, No. 12
Relative energy among the computed polymorphs (meV/atom): 104.9

Lattice parameters (Å, degrees): 4.332 4.332 6.440 79.36 79.36 40.83
Atoms (fractional coordinates):
Te 0.250 0.250 0.250
Be 0.750 0.750 0.750
Ag 0.032 0.032 0.928
Ag 0.468 0.468 0.572

Density functional theory data (PBE) for crystalline FeCoIN2 at its relaxed geometry.

Values from the calculation:
Magnetic moment (μB/f.u.): 3.0
Formation energy from raw total energies (eV per atom): 1.321
Space-group type: P4/mmm, No. 123
Relative energy among the computed polymorphs (meV/atom): 205.2

Lattice parameters (Å, degrees): 3.549 3.549 7.121 90.00 90.00 90.00
Each line ends with the local moment (μB).
Atoms (fractional coordinates):
N 0.000 0.500 0.000  0.01
I 0.000 0.000 0.500  0.10
N 0.500 0.000 0.000  0.01
Co 0.000 0.000 0.000  0.01
Fe 0.500 0.500 0.500  2.64

Density functional theory data (PBE) for crystalline Nb2CuSn2 at its relaxed geometry.

Values from the calculation:
Magnetic moment (μB/f.u.): 0.0
Space-group type: P4/mbm, No. 127
Calculated formation energy (eV per atom): 0.154
Relative energy among the computed polymorphs (meV/atom): 0.0

Lattice parameters (Å, degrees): 6.982 6.982 4.134 90.00 90.00 90.00
Atoms (fractional coordinates):
Nb 0.142 0.358 0.000
Nb 0.858 0.642 0.000
Sn 0.837 0.337 0.500
Sn 0.663 0.837 0.500
Nb 0.642 0.142 0.000
Sn 0.163 0.663 0.500
Cu 0.500 0.500 0.000
Cu 0.000 0.000 0.000
Sn 0.337 0.163 0.500
Nb 0.358 0.858 0.000

Density functional theory data (PBE) for crystalline Zn2GeAu at its relaxed geometry.

Values from the calculation:
Magnetic moment (μB/f.u.): 0.0
Space-group type: I-42d, No. 122
Calculated formation energy (eV per atom): 0.116

Lattice parameters (Å, degrees): 7.356 7.356 5.873 51.22 51.22 90.00
Atoms (fractional coordinates):
Zn 0.875 0.875 0.750
Ge 0.250 0.750 0.500
Zn 0.375 0.375 0.750
Ge 0.500 0.500 0.000
Zn 0.125 0.625 0.250
Au 0.000 0.000 0.000
Zn 0.625 0.125 0.250
Au 0.750 0.250 0.500

Density functional theory data (PBE) for crystalline Rb3Au2Br9 at its relaxed geometry.

Values from the calculation:
Magnetic moment (μB/f.u.): 0.0
Formation energy from raw total energies (eV per atom): -0.810
Space-group type: P-3m1, No. 164

Lattice parameters (Å, degrees): 7.596 7.596 9.311 90.00 90.00 120.00
Atoms (fractional coordinates):
Br 0.833 0.666 0.323
Rb 0.333 0.667 0.351
Br 0.666 0.833 0.677
Rb 0.667 0.333 0.649
Br 0.833 0.167 0.323
Br 0.167 0.334 0.677
Au 0.333 0.667 0.830
Rb 0.000 0.000 0.000
Au 0.667 0.333 0.170
Br 0.500 0.000 0.000
Br 0.167 0.833 0.677
Br 0.000 0.500 0.000
Br 0.334 0.167 0.323
Br 0.500 0.500 0.000

Density functional theory data (PBE) for crystalline NpTeH at its relaxed geometry.

Values from the calculation:
Magnetic moment (μB/f.u.): 4.0
Space-group type: P4/nmm, No. 129
E (eV per cell): -42.2

Lattice parameters (Å, degrees): 4.142 4.142 6.790 90.01 90.00 90.00
Each line ends with the local moment (μB).
Atoms (fractional coordinates):
Np 0.814 0.867 0.071  3.90
Te 0.814 0.866 0.589  -0.11
Te 0.314 0.367 0.251  -0.11
H 0.814 0.367 0.920  -0.03
Np 0.314 0.366 0.768  3.90
H 0.314 0.866 0.920  -0.03

Density functional theory data (PBE) for crystalline Tm4TcAs at its relaxed geometry.

Values from the calculation:
Magnetic moment (μB/f.u.): 0.0
Space-group type: Pnma, No. 62
Calculated formation energy (eV per atom): -0.569

Lattice parameters (Å, degrees): 4.259 7.576 18.095 90.00 90.00 90.00
Atoms (fractional coordinates):
Tm 0.750 0.995 0.932
Tm 0.250 0.005 0.068
As 0.750 0.767 0.802
Tm 0.250 0.149 0.546
Tm 0.750 0.895 0.646
As 0.250 0.733 0.302
Tm 0.250 0.505 0.432
Tm 0.750 0.851 0.454
Tm 0.750 0.495 0.568
Tm 0.750 0.351 0.046
Tm 0.250 0.064 0.783
Tm 0.250 0.564 0.717
Tm 0.250 0.105 0.354
Tc 0.750 0.253 0.434
Tc 0.250 0.247 0.934
Tc 0.750 0.753 0.066
Tc 0.250 0.747 0.566
Tm 0.750 0.395 0.854
Tm 0.750 0.936 0.217
As 0.250 0.233 0.198
Tm 0.250 0.649 0.954
Tm 0.250 0.605 0.146
Tm 0.750 0.436 0.283
As 0.750 0.267 0.698

Density functional theory data (PBE) for crystalline HfGeAs3 at its relaxed geometry.

Values from the calculation:
Magnetic moment (μB/f.u.): 0.0
Space-group type: Pm-3m, No. 221
Calculated formation energy (eV per atom): 0.367
Relative energy among the computed polymorphs (meV/atom): 0.0

Lattice parameters (Å, degrees): 5.132 5.132 5.132 90.00 90.00 90.00
Atoms (fractional coordinates):
As 0.000 0.000 0.500
Hf 0.000 0.000 0.000
As 0.000 0.500 0.000
As 0.500 0.000 0.000
Ge 0.500 0.500 0.500